{
  "formula": "IrPt3",
  "functional": "meta-GGA SCAN",
  "state": "PBEsol geometry",
  "sg": "No. 65",
  "e_form_ev_per_atom": 0.11,
  "rho_g_cm3": 21.9,
  "lattice": [[5.499, 0.000, 0.000], [0.000, 7.765, 0.000], [0.000, 0.000, 2.763]],
  "species": ["Ir", "Ir", "Pt", "Pt", "Pt", "Pt", "Pt", "Pt"],
  "fractional_positions": [[0.000, 0.000, 0.000], [0.500, 0.500, 0.000], [0.000, 0.500, 0.000], [0.250, 0.250, 0.500], [0.250, 0.750, 0.500], [0.500, 0.000, 0.000], [0.750, 0.250, 0.500], [0.750, 0.750, 0.500]]
}